[1]
Ba2NbSbP | PBE-GGA | relaxed

```
data_Ba2NbSbP
_cell_length_a 6.1653
_cell_length_b 6.1653
_cell_length_c 4.7148
_cell_angle_alpha 90.00
_cell_angle_beta 90.00
_cell_angle_gamma 90.00
_space_group_name_H-M_alt 'P 4/m m m'
_space_group_IT_number 123
_space_group_name_Hall '-P 4 2'
loop_
_atom_site_label
_atom_site_type_symbol
_atom_site_fract_x
_atom_site_fract_y
_atom_site_fract_z
Ba1 Ba 0.0000 0.5000 0.0000
Nb1 Nb 0.0000 0.0000 0.0000
Sb1 Sb 0.5000 0.5000 0.5000
P1 P 0.0000 0.0000 0.5000
```

Properties
The value obtained for the density of states at the Fermi level is 1.06 states/eV/atom. The calculation puts the total energy at -4.598 eV per atom.

[2]
BaScNb2P | PBE-GGA | relaxed

```
data_BaScNb2P
_cell_length_a 4.8231
_cell_length_b 4.8231
_cell_length_c 6.0702
_cell_angle_alpha 90.00
_cell_angle_beta 90.00
_cell_angle_gamma 90.00
_space_group_name_H-M_alt 'P 4/m m m'
_space_group_IT_number 123
_space_group_name_Hall '-P 4 2'
loop_
_atom_site_label
_atom_site_type_symbol
_atom_site_fract_x
_atom_site_fract_y
_atom_site_fract_z
Ba1 Ba 0.0000 0.0000 0.0000
Sc1 Sc 0.0000 0.0000 0.5000
Nb1 Nb 0.0000 0.5000 0.5000
P1 P 0.5000 0.5000 0.0000
```

Properties
The value obtained for the density of states at the Fermi level is 1.41 states/eV/atom. The calculation puts the formation energy at 1.5013 eV/atom.

[3]
Ba2NbSnP | PBE-GGA | relaxed

```
data_Ba2NbSnP
_cell_length_a 6.1233
_cell_length_b 6.1233
_cell_length_c 5.2044
_cell_angle_alpha 90.00
_cell_angle_beta 90.00
_cell_angle_gamma 90.00
_space_group_name_H-M_alt 'P 4/m m m'
_space_group_IT_number 123
_space_group_name_Hall '-P 4 2'
loop_
_atom_site_label
_atom_site_type_symbol
_atom_site_fract_x
_atom_site_fract_y
_atom_site_fract_z
Ba1 Ba 0.0000 0.5000 0.0000
Nb1 Nb 0.0000 0.0000 0.5000
Sn1 Sn 0.5000 0.5000 0.5000
P1 P 0.5000 0.5000 0.0000
```

Properties
The value obtained for the density of states at the Fermi level is 0.90 states/eV/atom. The calculation puts the formation energy at 0.4548 eV/atom.

[4]
BaPaNb2S8 | PBE-GGA | relaxed

```
data_BaPaNb2S8
_cell_length_a 6.4440
_cell_length_b 6.4440
_cell_length_c 26.9959
_cell_angle_alpha 90.00
_cell_angle_beta 90.00
_cell_angle_gamma 120.00
_space_group_name_H-M_alt 'R -3'
_space_group_IT_number 148
_space_group_name_Hall '-R 3'
loop_
_atom_site_label
_atom_site_type_symbol
_atom_site_fract_x
_atom_site_fract_y
_atom_site_fract_z
Ba1 Ba 0.0000 0.0000 0.0000
Pa1 Pa 0.0000 0.0000 0.5000
Nb1 Nb 0.0000 0.0000 0.2474
S1 S 0.0000 0.0000 0.3298
S2 S 0.0099 0.6905 0.1072
```

Properties
The value obtained for the density of states at the Fermi level is 0.53 states/eV/atom. The calculation puts the total energy at -6.531 eV per atom.

[5]
BaPa2NbS8 | PBE-GGA | relaxed

```
data_BaPa2NbS8
_cell_length_a 6.0452
_cell_length_b 8.3858
_cell_length_c 6.3944
_cell_angle_alpha 90.00
_cell_angle_beta 91.54
_cell_angle_gamma 90.00
_space_group_name_H-M_alt 'P 1 2/m 1'
_space_group_IT_number 10
loop_
_space_group_symop_operation_xyz
'x,y,z'
'-x,-y,-z'
'-x,y,-z'
'x,-y,z'
loop_
_atom_site_label
_atom_site_type_symbol
_atom_site_fract_x
_atom_site_fract_y
_atom_site_fract_z
Ba1 Ba 0.0000 0.0000 0.0000
Pa1 Pa 0.5000 0.2553 0.5000
Nb1 Nb 0.0000 0.5000 0.0000
S1 S 0.2395 0.2997 0.1707
S2 S 0.2696 0.5000 0.6750
S3 S 0.2708 0.0000 0.6089
```

Properties
The value obtained for the density of states at the Fermi level is 0.51 states/eV/atom. The calculation puts the total energy at -6.672 eV per atom.

[6]
Ba2NbPb | PBE-GGA | relaxed

```
data_Ba2NbPb
_cell_length_a 9.4776
_cell_length_b 9.4776
_cell_length_c 6.4512
_cell_angle_alpha 90.00
_cell_angle_beta 90.00
_cell_angle_gamma 90.00
_space_group_name_H-M_alt 'I -4 2 d'
_space_group_IT_number 122
_space_group_name_Hall 'I -4 2bw'
loop_
_atom_site_label
_atom_site_type_symbol
_atom_site_fract_x
_atom_site_fract_y
_atom_site_fract_z
Ba1 Ba 0.2195 0.7500 0.1250
Nb1 Nb 0.0000 0.0000 0.0000
Pb1 Pb 0.0000 0.0000 0.5000
```

Properties
The value obtained for the density of states at the Fermi level is 1.31 states/eV/atom. The calculation puts the formation energy at 0.7097 eV/atom.

[7]
BaNb3Pb | PBE-GGA | relaxed

```
data_BaNb3Pb
_cell_length_a 5.3566
_cell_length_b 5.3566
_cell_length_c 5.3566
_cell_angle_alpha 90.00
_cell_angle_beta 90.00
_cell_angle_gamma 90.00
_space_group_name_H-M_alt 'P m -3 m'
_space_group_IT_number 221
_space_group_name_Hall '-P 4 2 3'
loop_
_atom_site_label
_atom_site_type_symbol
_atom_site_fract_x
_atom_site_fract_y
_atom_site_fract_z
Ba1 Ba 0.0000 0.0000 0.0000
Nb1 Nb 0.0000 0.5000 0.5000
Pb1 Pb 0.5000 0.5000 0.5000
```

Properties
The value obtained for the density of states at the Fermi level is 1.52 states/eV/atom. The calculation puts the formation energy at 1.6751 eV/atom.

[8]
BaNbSi2Pb | PBE-GGA | relaxed

```
data_BaNbSi2Pb
_cell_length_a 5.4463
_cell_length_b 5.4463
_cell_length_c 5.4640
_cell_angle_alpha 90.00
_cell_angle_beta 90.00
_cell_angle_gamma 90.00
_space_group_name_H-M_alt 'P 4/m m m'
_space_group_IT_number 123
_space_group_name_Hall '-P 4 2'
loop_
_atom_site_label
_atom_site_type_symbol
_atom_site_fract_x
_atom_site_fract_y
_atom_site_fract_z
Ba1 Ba 0.0000 0.0000 0.0000
Nb1 Nb 0.5000 0.5000 0.0000
Si1 Si 0.0000 0.5000 0.5000
Pb1 Pb 0.5000 0.5000 0.5000
```

Properties
The value obtained for the density of states at the Fermi level is 0.86 states/eV/atom. The calculation puts the total energy at -4.223 eV per atom.

[9]
BaNbSi2Pb | PBE-GGA | relaxed

```
data_BaNbSi2Pb
_cell_length_a 5.0240
_cell_length_b 5.0240
_cell_length_c 5.4804
_cell_angle_alpha 90.00
_cell_angle_beta 90.00
_cell_angle_gamma 90.00
_space_group_name_H-M_alt 'P 4/m m m'
_space_group_IT_number 123
_space_group_name_Hall '-P 4 2'
loop_
_atom_site_label
_atom_site_type_symbol
_atom_site_fract_x
_atom_site_fract_y
_atom_site_fract_z
Ba1 Ba 0.0000 0.0000 0.0000
Nb1 Nb 0.5000 0.5000 0.5000
Si1 Si 0.0000 0.5000 0.5000
Pb1 Pb 0.5000 0.5000 0.0000
```

Properties
The value obtained for the density of states at the Fermi level is 0.56 states/eV/atom. The calculation puts the total energy at -5.332 eV per atom.

[10]
BaTiNbPb2 | PBE-GGA | relaxed

```
data_BaTiNbPb2
_cell_length_a 5.4029
_cell_length_b 5.4029
_cell_length_c 5.5582
_cell_angle_alpha 90.00
_cell_angle_beta 90.00
_cell_angle_gamma 90.00
_space_group_name_H-M_alt 'P 4/m m m'
_space_group_IT_number 123
_space_group_name_Hall '-P 4 2'
loop_
_atom_site_label
_atom_site_type_symbol
_atom_site_fract_x
_atom_site_fract_y
_atom_site_fract_z
Ba1 Ba 0.0000 0.0000 0.0000
Ti1 Ti 0.0000 0.0000 0.5000
Nb1 Nb 0.5000 0.5000 0.0000
Pb1 Pb 0.0000 0.5000 0.5000
```

Properties
The value obtained for the density of states at the Fermi level is 1.85 states/eV/atom. The calculation puts the formation energy at 1.1801 eV/atom.

[11]
BaY2NbPb | PBE-GGA | relaxed

```
data_BaY2NbPb
_cell_length_a 5.5755
_cell_length_b 5.5755
_cell_length_c 5.8596
_cell_angle_alpha 90.00
_cell_angle_beta 90.00
_cell_angle_gamma 90.00
_space_group_name_H-M_alt 'P 4/m m m'
_space_group_IT_number 123
_space_group_name_Hall '-P 4 2'
loop_
_atom_site_label
_atom_site_type_symbol
_atom_site_fract_x
_atom_site_fract_y
_atom_site_fract_z
Ba1 Ba 0.0000 0.0000 0.0000
Y1 Y 0.0000 0.5000 0.0000
Nb1 Nb 0.5000 0.5000 0.5000
Pb1 Pb 0.0000 0.0000 0.5000
```

Properties
The value obtained for the density of states at the Fermi level is 2.08 states/eV/atom. The calculation puts the formation energy at 1.8585 eV/atom.

[12]
BaZr2NbPb | PBE-GGA | relaxed

```
data_BaZr2NbPb
_cell_length_a 5.5868
_cell_length_b 5.5868
_cell_length_c 5.4540
_cell_angle_alpha 90.00
_cell_angle_beta 90.00
_cell_angle_gamma 90.00
_space_group_name_H-M_alt 'P 4/m m m'
_space_group_IT_number 123
_space_group_name_Hall '-P 4 2'
loop_
_atom_site_label
_atom_site_type_symbol
_atom_site_fract_x
_atom_site_fract_y
_atom_site_fract_z
Ba1 Ba 0.0000 0.0000 0.0000
Zr1 Zr 0.0000 0.5000 0.5000
Nb1 Nb 0.5000 0.5000 0.0000
Pb1 Pb 0.5000 0.5000 0.5000
```

Properties
The value obtained for the density of states at the Fermi level is 1.89 states/eV/atom. The calculation puts the formation energy at 1.1443 eV/atom.